[1]
PBE-GGA PrEr2Th, optimized geometry; calculated volume = 128.8 Å³ per cell; SG = No. 123; ΔE to the lowest computed polymorph = 0.170 eV/f.u.
1.0
4.957 0.000 0.000
0.000 5.097 0.000
0.000 0.000 5.097
Er Th Pr
2 1 1
Direct
0.000 0.500 0.000
0.000 0.000 0.500
0.500 0.000 0.000
0.500 0.500 0.500


[2]
PBE-GGA PrEr3Th2, optimized geometry; calculated volume = 387.8 Å³ per cell; SG = No. 12; ΔE to the lowest computed polymorph = 0.108 eV/f.u.
1.0
3.541 0.000 0.581
0.991 9.851 5.045
-0.004 -0.008 11.113
Th Pr Er
4 2 6
Direct
0.279 0.348 0.094
0.062 0.807 0.069
0.938 0.193 0.931
0.721 0.652 0.906
0.392 0.980 0.235
0.608 0.020 0.765
0.279 0.846 0.596
0.053 0.324 0.569
0.388 0.492 0.731
0.947 0.676 0.431
0.612 0.508 0.269
0.721 0.154 0.404


[3]
PBE-GGA Pr3Er4Th2, optimized geometry; calculated volume = 606.5 Å³ per cell; SG = No. 15; E_tot = -91.97 eV per cell
1.0
-2.485 -7.794 5.561
5.131 -6.771 -5.068
4.770 2.068 3.617
Er Pr Th
8 6 4
Direct
0.126 0.493 0.362
0.129 0.705 0.978
0.493 0.126 0.862
0.507 0.874 0.138
0.871 0.295 0.022
0.874 0.507 0.638
0.295 0.871 0.522
0.705 0.129 0.478
0.460 0.540 0.250
0.833 0.957 0.997
0.043 0.167 0.503
0.540 0.460 0.750
0.957 0.833 0.497
0.167 0.043 0.003
0.784 0.631 0.142
0.216 0.369 0.858
0.631 0.784 0.642
0.369 0.216 0.358


[4]
PBE-GGA PrEr6Th2, optimized geometry; calculated volume = 283.9 Å³ per cell; SG = No. 191; ΔE to the lowest computed polymorph = 0.000 eV/f.u.
1.0
-1.324 0.386 3.199
-4.629 -7.886 -4.757
4.160 -9.384 -0.937
Pr Er Th
1 6 2
Direct
0.000 0.000 0.000
0.165 0.664 0.000
0.165 0.000 0.664
0.835 0.000 0.336
0.500 0.664 0.336
0.500 0.336 0.664
0.835 0.336 0.000
0.666 0.333 0.333
0.334 0.667 0.667


[5]
PBE-GGA Pr12Er7Th, optimized geometry; calculated volume = 688.9 Å³ per cell; SG = No. 148; ΔE to the lowest computed polymorph = 0.000 eV/f.u.
1.0
-1.563 0.186 8.691
-6.350 -6.056 -1.000
5.928 -6.433 1.215
Er Pr Th
7 12 1
Direct
0.059 0.148 0.377
0.148 0.377 0.059
0.941 0.852 0.623
0.852 0.623 0.941
0.500 0.500 0.500
0.623 0.941 0.852
0.377 0.059 0.148
0.129 0.727 0.268
0.871 0.273 0.732
0.379 0.854 0.502
0.498 0.621 0.146
0.621 0.146 0.498
0.273 0.732 0.871
0.732 0.871 0.273
0.854 0.502 0.379
0.146 0.498 0.621
0.268 0.129 0.727
0.502 0.379 0.854
0.727 0.268 0.129
0.000 0.000 0.000


[6]
PBE-GGA Pr2Er3Th, optimized geometry; calculated volume = 392.9 Å³ per cell; SG = No. 12; E_tot = -60.81 eV per cell
1.0
-1.875 -0.394 4.696
4.169 1.091 4.495
7.017 15.855 6.871
Pr Er Th
4 6 2
Direct
0.875 0.379 0.872
0.628 0.117 0.626
0.372 0.883 0.374
0.125 0.621 0.128
0.878 0.035 0.209
0.128 0.288 0.457
0.122 0.965 0.791
0.624 0.796 0.957
0.872 0.712 0.543
0.376 0.204 0.043
0.378 0.534 0.709
0.622 0.466 0.291


[7]
PBE-GGA PrErThTl, optimized geometry; calculated volume = 122.2 Å³ per cell; SG = No. 216; E_tot = -19.06 eV per cell
1.0
5.570 0.000 0.000
2.785 4.823 0.000
2.785 1.608 4.548
Th Pr Tl Er
1 1 1 1
Direct
0.250 0.250 0.250
0.750 0.750 0.750
0.000 0.000 0.000
0.500 0.500 0.500


[8]
PBE-GGA Pr2ErTmTh, optimized geometry; calculated volume = 346.4 Å³ per cell; SG = No. 51; E_tot = -48.98 eV per cell
1.0
-0.700 -3.989 -4.935
-3.054 -5.909 5.209
-5.946 2.230 -0.960
Th Pr Tm Er
2 4 2 2
Direct
0.442 0.000 0.750
0.558 0.000 0.250
0.720 0.693 0.750
0.280 0.307 0.250
0.720 0.307 0.750
0.280 0.693 0.250
0.000 0.000 0.500
0.000 0.000 0.000
0.800 0.500 0.250
0.200 0.500 0.750


[9]
PBE-GGA PrEr6Tm3Th2, optimized geometry; calculated volume = 374.6 Å³ per cell; SG = No. 12; E_tot = -59.95 eV per cell
1.0
-3.240 -4.754 2.144
5.611 1.134 2.219
-5.347 7.955 6.619
Th Tm Er Pr
2 3 6 1
Direct
0.333 0.667 0.000
0.667 0.333 0.000
0.166 0.834 0.500
0.500 0.500 0.500
0.834 0.166 0.500
0.422 0.084 0.251
0.084 0.422 0.251
0.578 0.916 0.749
0.746 0.746 0.251
0.254 0.254 0.749
0.916 0.578 0.749
0.000 0.000 0.000


[10]
PBE-GGA Pr4ErTm2Th, optimized geometry; calculated volume = 268.0 Å³ per cell; SG = No. 12; E_tot = -39.67 eV per cell
1.0
5.145 0.000 0.000
2.573 5.666 -0.665
2.573 -0.029 9.196
Pr Tm Th Er
4 2 1 1
Direct
0.874 0.874 0.377
0.376 0.374 0.873
0.126 0.126 0.623
0.624 0.626 0.127
0.753 0.745 0.748
0.247 0.255 0.252
0.500 0.500 0.500
0.000 0.000 0.000


[11]
PBE-GGA PrErTmTh2, optimized geometry; calculated volume = 348.4 Å³ per cell; SG = No. 63; E_tot = -53.63 eV per cell
1.0
6.684 0.000 0.000
0.000 6.685 0.000
0.000 -3.342 7.797
Pr Th Er Tm
2 4 2 2
Direct
0.750 0.749 0.498
0.250 0.251 0.502
0.500 0.250 0.000
0.000 0.250 0.000
0.000 0.750 0.000
0.500 0.750 0.000
0.750 0.349 0.698
0.250 0.651 0.302
0.750 0.150 0.301
0.250 0.850 0.699


[12]
PBE-GGA PrErTm3Th, optimized geometry; calculated volume = 379.4 Å³ per cell; SG = No. 11; E_tot = -60.00 eV per cell
1.0
-4.193 0.018 2.793
-3.803 -3.995 -5.685
4.869 -5.860 7.348
Er Pr Tm Th
2 2 6 2
Direct
0.250 0.129 0.628
0.750 0.871 0.372
0.250 0.125 0.292
0.750 0.875 0.708
0.750 0.375 0.544
0.750 0.869 0.042
0.250 0.625 0.456
0.250 0.618 0.793
0.750 0.382 0.207
0.250 0.131 0.958
0.250 0.619 0.122
0.750 0.381 0.878